The following is a PBE calculation of ReTeMoI2 after structural relaxation, from Alexandria via LeMat-Bulk.

The structure belongs to space group P4/mmm (No. 123); the cell edges are 5.6559, 5.6559 and 5.0463 Å and the angles 90.00°, 90.00° and 90.00°. The asymmetric unit holds Re at (0.0000, 0.0000, 0.0000), Te at (0.0000, 0.0000, 0.5000), Mo at (0.5000, 0.5000, 0.5000) and I at (0.0000, 0.5000, 0.0000).

---

The following is a PBE calculation of ReTe2MoI after structural relaxation, from Alexandria via LeMat-Bulk.

The structure belongs to space group P4/mmm (No. 123); the cell edges are 5.1478, 5.1478 and 5.8042 Å and the angles 90.00°, 90.00° and 90.00°. The asymmetric unit holds Re at (0.0000, 0.0000, 0.0000), Te at (0.0000, 0.5000, 0.0000), Mo at (0.5000, 0.5000, 0.5000) and I at (0.0000, 0.0000, 0.5000).

---

The following is a PBE calculation of Mo2RhI after structural relaxation, from Alexandria via LeMat-Bulk.

The structure belongs to space group Fm-3m (No. 225); the cell edges are 6.4431, 6.4431 and 6.4431 Å and the angles 90.00°, 90.00° and 90.00°. The asymmetric unit holds Mo at (0.2500, 0.2500, 0.2500), Rh at (0.0000, 0.0000, 0.0000) and I at (0.0000, 0.0000, 0.5000).

---

The following is a PBE calculation of Mo2RhI after structural relaxation, from Alexandria via LeMat-Bulk.

The structure belongs to space group I-42d (No. 122); the cell edges are 5.8338, 5.8338 and 11.7303 Å and the angles 90.00°, 90.00° and 90.00°. The asymmetric unit holds Mo at (0.2093, 0.2500, 0.1250), Rh at (0.0000, 0.0000, 0.0000) and I at (0.0000, 0.0000, 0.5000).

---

The following is a PBE calculation of SbMoRhI2 after structural relaxation, from Alexandria via LeMat-Bulk.

The structure belongs to space group P4/mmm (No. 123); the cell edges are 5.3267, 5.3267 and 5.0329 Å and the angles 90.00°, 90.00° and 90.00°. The asymmetric unit holds Sb at (0.0000, 0.0000, 0.0000), Mo at (0.5000, 0.5000, 0.0000), Rh at (0.5000, 0.5000, 0.5000) and I at (0.0000, 0.5000, 0.5000).

---

The following is a PBE calculation of Sb2MoRhI after structural relaxation, from Alexandria via LeMat-Bulk.

The structure belongs to space group P4/mmm (No. 123); the cell edges are 5.1381, 5.1381 and 5.4809 Å and the angles 90.00°, 90.00° and 90.00°. The asymmetric unit holds Sb at (0.0000, 0.5000, 0.0000), Mo at (0.0000, 0.0000, 0.0000), Rh at (0.5000, 0.5000, 0.5000) and I at (0.0000, 0.0000, 0.5000).

---

The following is a PBE calculation of SbMoRhI2 after structural relaxation, from Alexandria via LeMat-Bulk.

The structure belongs to space group P4/mmm (No. 123); the cell edges are 5.5578, 5.5578 and 5.0012 Å and the angles 90.00°, 90.00° and 90.00°. The asymmetric unit holds Sb at (0.0000, 0.0000, 0.0000), Mo at (0.5000, 0.5000, 0.0000), Rh at (0.0000, 0.0000, 0.5000) and I at (0.0000, 0.5000, 0.5000).

---

The following is a PBE calculation of Sb2MoRhI after structural relaxation, from Alexandria via LeMat-Bulk.

The structure belongs to space group P4/mmm (No. 123); the cell edges are 5.0832, 5.0832 and 5.5240 Å and the angles 90.00°, 90.00° and 90.00°. The asymmetric unit holds Sb at (0.0000, 0.5000, 0.0000), Mo at (0.0000, 0.0000, 0.5000), Rh at (0.5000, 0.5000, 0.0000) and I at (0.5000, 0.5000, 0.5000).

---

The following is a PBE calculation of SbMoRhI2 after structural relaxation, from Alexandria via LeMat-Bulk.

The structure belongs to space group P4/mmm (No. 123); the cell edges are 5.4086, 5.4086 and 5.2306 Å and the angles 90.00°, 90.00° and 90.00°. The asymmetric unit holds Sb at (0.0000, 0.0000, 0.0000), Mo at (0.0000, 0.0000, 0.5000), Rh at (0.5000, 0.5000, 0.0000) and I at (0.0000, 0.5000, 0.5000).

---

The following is a PBE calculation of Sc2MoRhI after structural relaxation, from Alexandria via LeMat-Bulk.

The structure belongs to space group P4/mmm (No. 123); the cell edges are 5.1332, 5.1332 and 4.8684 Å and the angles 90.00°, 90.00° and 90.00°. The asymmetric unit holds Sc at (0.0000, 0.5000, 0.0000), Mo at (0.0000, 0.0000, 0.5000), Rh at (0.5000, 0.5000, 0.5000) and I at (0.0000, 0.0000, 0.0000).

---

The following is a PBE calculation of Mo2RhSeI after structural relaxation, from Alexandria via LeMat-Bulk.

The structure belongs to space group P4/mmm (No. 123); the cell edges are 4.7870, 4.7870 and 4.5824 Å and the angles 90.00°, 90.00° and 90.00°. The asymmetric unit holds Mo at (0.0000, 0.5000, 0.0000), Rh at (0.0000, 0.0000, 0.5000), Se at (0.0000, 0.0000, 0.0000) and I at (0.5000, 0.5000, 0.5000).

---

The following is a PBE calculation of V2MoRhI after structural relaxation, from Alexandria via LeMat-Bulk.

The structure belongs to space group P4/mmm (No. 123); the cell edges are 4.6959, 4.6959 and 4.6762 Å and the angles 90.00°, 90.00° and 90.00°. The asymmetric unit holds V at (0.0000, 0.5000, 0.0000), Mo at (0.0000, 0.0000, 0.5000), Rh at (0.5000, 0.5000, 0.5000) and I at (0.5000, 0.5000, 0.0000).

---

It is found that the E_tot values, taken in the order of the records, are -4.48; -4.85; -6.95; -6.43; -4.10; -4.51; -4.11; -4.62; -3.90; -5.27; -5.70; -5.73 eV/atom.
It is found that the uncorrected formation energy values, taken in the order of the records, are 7.099; 6.852; 2.758; 4.863; 4.925; 5.447; 4.868; 4.881; 5.920; 6.043; 5.560; 9.321 eV/f.u..